Record 1
CsRuSeBr2 | PBE-GGA | optimized geometry

Output
**E_tot**: -11.26 eV per cell
**Raw formation energy**: 1.140 eV/atom
**Calculated density**: 3.18 Mg/m³
**Polymorph energy (0 for the lowest one)**: 1673 meV/atom
**Symmetry**: P4/mmm

a = 6.5118 Å, b = 6.5118 Å, c = 5.8273 Å
α = 90.00°, β = 90.00°, γ = 90.00°
Positions (direct):
Cs (0.0000, 0.0000, 0.0000)
Ru (0.5000, 0.5000, 0.5000)
Se (0.0000, 0.0000, 0.5000)
Br (0.0000, 0.5000, 0.0000)
Br (0.5000, 0.0000, 0.0000)

---

Record 2
CoSb6Pd | PBE-GGA | optimized geometry

Output
**E_tot**: -77.42 eV per cell
**Raw formation energy**: -0.209 eV/atom
**Calculated density**: 7.32 Mg/m³
**Symmetry**: C2/m

a = 8.0488 Å, b = 8.0488 Å, c = 9.3452 Å
α = 124.95°, β = 124.95°, γ = 70.67°
Positions (direct):
Co (0.0000, 0.5000, 0.0000)
Co (0.5000, 0.0000, 0.0000)
Sb (0.1483, 0.8332, 0.1514)
Sb (0.1668, 0.8517, 0.8486)
Sb (0.1819, 0.5044, 0.3327)
Sb (0.3290, 0.3290, 0.9889)
Sb (0.3499, 0.3499, 0.6965)
Sb (0.4956, 0.8181, 0.6673)
Sb (0.5044, 0.1819, 0.3327)
Sb (0.6501, 0.6501, 0.3035)
Sb (0.6710, 0.6710, 0.0111)
Sb (0.8181, 0.4956, 0.6673)
Sb (0.8332, 0.1483, 0.1514)
Sb (0.8517, 0.1668, 0.8486)
Pd (0.0000, 0.5000, 0.5000)
Pd (0.5000, 0.0000, 0.5000)